Record 1
A plane-wave DFT calculation with PBE was carried out for a relaxed NdGa2CuNi4 crystal.

The space group is R-3m (No. 166, hexagonal axes) and the conventional cell measures 4.0461, 4.0461 and 25.0524 Å, with angles of 90.00, 90.00 and 120.00 degrees. The distinct sites, in fractional coordinates, are Nd at (0.0000, 0.0000, 0.0000), Ga at (0.0000, 0.0000, 0.2341), Cu at (0.0000, 0.0000, 0.5000), Ni at (0.0000, 0.0000, 0.1301) and Ni at (0.0000, 0.0000, 0.4061).

As for the electronic total energy: -5.090 eV per atom. The calculation puts the density at 8.16 Mg/m³. As for the formation energy: -335 meV per atom.



Record 2
A plane-wave DFT calculation with PBE was carried out for a relaxed YMo2W crystal.

The space group is P4/mmm (No. 123) and the conventional cell measures 4.7109, 4.7109 and 3.2321 Å, with angles of 90.00, 90.00 and 90.00 degrees. The distinct sites, in fractional coordinates, are Y at (0.0000, 0.0000, 0.0000), Mo at (0.0000, 0.5000, 0.5000) and W at (0.5000, 0.5000, 0.0000).

As for the electronic total energy: -9.825 eV per atom. The calculation puts the density at 10.76 Mg/m³. As for the formation energy: 445 meV per atom. The energy above the most stable polymorph in this dataset is 176.0 meV per atom.



Record 3
A plane-wave DFT calculation with PBE was carried out for a relaxed Ba8Pd2Au crystal.

The space group is C2/m (No. 12) and the conventional cell measures 14.5602, 11.2891 and 6.8493 Å, with angles of 90.00, 92.19 and 90.00 degrees. The distinct sites, in fractional coordinates, are Ba at (0.1081, 0.0000, 0.2455), Ba at (0.1102, 0.2776, 0.7369), Ba at (0.1749, 0.5000, 0.2327), Pd at (0.1101, 0.0000, 0.7457) and Au at (0.0000, 0.5000, 0.5000).

As for the electronic total energy: -2.977 eV per atom. The calculation puts the density at 4.45 Mg/m³. As for the formation energy: -336 meV per atom. The energy above the most stable polymorph in this dataset is 0.0 meV per atom.



Record 4
A plane-wave DFT calculation with PBE was carried out for a relaxed LiInSiRh crystal.

The space group is F-43m (No. 216) and the conventional cell measures 6.2447, 6.2447 and 6.2447 Å, with angles of 90.00, 90.00 and 90.00 degrees. The distinct sites, in fractional coordinates, are Li at (0.0000, 0.0000, 0.0000), In at (0.2500, 0.2500, 0.7500), Si at (0.2500, 0.2500, 0.2500) and Rh at (0.0000, 0.0000, 0.5000).

As for the electronic total energy: -4.698 eV per atom. The calculation puts the density at 6.89 Mg/m³. The uncorrected formation energy comes out at -1.4 eV/f.u.